(1)
{"formula": "VSb2Pd", "functional": "PBE", "state": "relaxed", "spacegroup": "Fm-3m, No. 225", "formation_energy_uncorrected_ev_per_atom": 0.07, "density_g_cm3": 8.35, "final_energy_ha_per_atom": -0.205, "total_magnetization_mub_per_cell": 3.1, "lattice_angstrom": [[0.000, 3.416, 3.416], [3.416, 0.000, 3.416], [3.416, 3.416, 0.000]], "species": ["Pd", "Sb", "Sb", "V"], "fractional_positions": [[0.500, 0.500, 0.500], [0.750, 0.750, 0.750], [0.250, 0.250, 0.250], [0.000, 0.000, 0.000]]}

(2)
{"formula": "V2Sb2Pd", "functional": "PBE", "state": "relaxed", "spacegroup": "P4/mbm, No. 127", "formation_energy_uncorrected_ev_per_atom": 0.05, "density_g_cm3": 8.16, "final_energy_ha_per_atom": -0.231, "total_magnetization_mub_per_cell": 0.0, "lattice_angstrom": [[-6.465, 2.712, -2.708], [-3.702, -5.794, 3.035], [-0.430, 1.708, 2.736]], "species": ["Sb", "Sb", "Sb", "Sb", "V", "V", "V", "V", "Pd", "Pd"], "fractional_positions": [[0.827, 0.673, 0.000], [0.673, 0.173, 0.000], [0.173, 0.327, 0.000], [0.327, 0.827, 0.000], [0.885, 0.385, 0.500], [0.615, 0.885, 0.500], [0.385, 0.115, 0.500], [0.115, 0.615, 0.500], [0.000, 0.000, 0.000], [0.500, 0.500, 0.000]]}

(3)
{"formula": "V2SbPd6", "functional": "PBE", "state": "relaxed", "spacegroup": "Fmmm, No. 69", "formation_energy_uncorrected_ev_per_atom": -0.22, "density_g_cm3": 10.10, "final_energy_ha_per_atom": -0.227, "total_magnetization_mub_per_cell": 4.1, "lattice_angstrom": [[3.902, 0.000, 1.299], [1.951, 5.553, 0.649], [-0.010, 0.001, 6.539]], "species": ["Pd", "Pd", "Pd", "Pd", "Pd", "Pd", "Sb", "V", "V"], "fractional_positions": [[0.990, 0.181, 0.839], [0.671, 0.819, 0.839], [0.329, 0.181, 0.161], [0.659, 0.181, 0.500], [0.341, 0.819, 0.500], [0.010, 0.819, 0.161], [0.000, 0.500, 0.500], [0.676, 0.500, 0.149], [0.324, 0.500, 0.851]]}

(4)
{"formula": "VSb4Pd2", "functional": "PBE", "state": "relaxed", "spacegroup": "I4/mmm, No. 139", "formation_energy_uncorrected_ev_per_atom": 0.17, "density_g_cm3": 7.13, "final_energy_ha_per_atom": -0.183, "total_magnetization_mub_per_cell": 0.9, "lattice_angstrom": [[5.180, 0.000, 0.000], [0.000, 5.180, 0.000], [2.590, 2.590, 6.512]], "species": ["Sb", "Sb", "Sb", "Sb", "Pd", "Pd", "V"], "fractional_positions": [[0.801, 0.801, 0.398], [0.500, 0.000, 0.000], [0.000, 0.500, 0.000], [0.199, 0.199, 0.602], [0.396, 0.396, 0.208], [0.604, 0.604, 0.792], [0.000, 0.000, 0.000]]}

(5)
{"formula": "V2SbPd2", "functional": "PBE", "state": "relaxed", "spacegroup": "P4/mbm, No. 127", "formation_energy_uncorrected_ev_per_atom": 0.03, "density_g_cm3": 8.55, "final_energy_ha_per_atom": -0.239, "total_magnetization_mub_per_cell": 7.8, "lattice_angstrom": [[-4.395, 5.668, -1.838], [-2.893, -0.032, 6.815], [2.176, 1.990, 0.933]], "species": ["V", "V", "V", "V", "Pd", "Pd", "Pd", "Pd", "Sb", "Sb"], "fractional_positions": [[0.663, 0.837, 0.500], [0.163, 0.663, 0.500], [0.837, 0.337, 0.500], [0.337, 0.163, 0.500], [0.631, 0.131, 0.000], [0.869, 0.631, 0.000], [0.369, 0.869, 0.000], [0.131, 0.369, 0.000], [0.500, 0.500, 0.000], [0.000, 0.000, 0.000]]}

(6)
{"formula": "V2SbPd2", "functional": "PBE", "state": "relaxed", "spacegroup": "P4/mbm, No. 127", "formation_energy_uncorrected_ev_per_atom": 0.10, "density_g_cm3": 8.56, "final_energy_ha_per_atom": -0.237, "total_magnetization_mub_per_cell": 4.9, "lattice_angstrom": [[-2.543, 0.601, 7.034], [-6.235, -3.698, -1.938], [1.328, -2.606, 0.703]], "species": ["Pd", "Pd", "Pd", "Pd", "V", "V", "V", "V", "Sb", "Sb"], "fractional_positions": [[0.630, 0.870, 0.500], [0.370, 0.130, 0.500], [0.130, 0.630, 0.500], [0.870, 0.370, 0.500], [0.339, 0.839, 0.000], [0.661, 0.161, 0.000], [0.161, 0.339, 0.000], [0.839, 0.661, 0.000], [0.500, 0.500, 0.000], [0.000, 0.000, 0.000]]}